Record 1
VASP calculation (PBE) on a relaxed LaZrO3 crystal.

Output
As for the symmetry: No. 166.

a = 4.156 Å, b = 4.156 Å, c = 4.156 Å
α = 90.09°, β = 90.09°, γ = 90.09°
Fractional coordinates of all 5 atoms:
O (0.500, 0.000, 0.000)
O (0.000, 0.500, 0.000)
O (0.000, 0.000, 0.500)
La (0.500, 0.500, 0.500)
Zr (0.000, 0.000, 0.000)

***

Record 2
VASP calculation (PBE) on a relaxed TbNdRe crystal.

Output
As for the symmetry: No. 216.

a = 4.826 Å, b = 4.826 Å, c = 4.826 Å
α = 60.00°, β = 60.00°, γ = 60.00°
Last column: magnetic moment on the atom in μB.
Fractional coordinates of all 3 atoms:
Nd (0.000, 0.000, 0.000)  -0.01
Re (0.250, 0.250, 0.250)  0.49
Tb (0.750, 0.750, 0.750)  -0.04

***

| no. | energy (hartree per atom) | spin magnetization (μB per formula unit) |
| --- | --- | --- |
| 1 | -0.3188 | 0.00 |
| 2 | -0.2228 | 0.52 |